1.
Density functional theory data (PBE-GGA) for NaSm6S8 after structural relaxation.

Structure (CIF):
```
data_NaSm6S8
_chemical_formula_sum 'Na4 Sm24 S32'
_space_group_name_H-M_alt 'F m -3 m'
_space_group_IT_number 225
_space_group_name_Hall '-F 4 2 3'
_cell_length_a 11.297
_cell_length_b 11.297
_cell_length_c 11.297
_cell_angle_alpha 90.00
_cell_angle_beta 90.00
_cell_angle_gamma 90.00
loop_
_atom_site_label
_atom_site_fract_x
_atom_site_fract_y
_atom_site_fract_z
_atom_site_occupancy
Na1 0.000 0.000 0.000 1
Sm1 0.000 0.250 0.250 1
S1 0.000 0.000 0.250 1
S2 0.250 0.250 0.250 1
```

Results
Formation energy without anion corrections (eV per atom): -1.975
Uncorrected energy (eV per formula unit): -92.3

2.
Density functional theory data (PBE-GGA) for Nd5Y4Mg2 after structural relaxation.

Structure (CIF):
```
data_Nd5Y4Mg2
_chemical_formula_sum 'Nd10 Y8 Mg4'
_space_group_name_H-M_alt 'C 1 2/m 1'
_space_group_IT_number 12
_space_group_name_Hall '-C 2y'
_cell_length_a 22.595
_cell_length_b 3.569
_cell_length_c 8.877
_cell_angle_alpha 90.00
_cell_angle_beta 93.83
_cell_angle_gamma 90.00
loop_
_atom_site_label
_atom_site_fract_x
_atom_site_fract_y
_atom_site_fract_z
_atom_site_occupancy
Nd1 0.000 0.000 0.000 1
Nd2 0.133 0.500 0.097 1
Nd3 0.183 0.500 0.474 1
Y1 0.073 0.500 0.716 1
Y2 0.211 0.000 0.820 1
Mg1 0.054 0.000 0.379 1
```

Results
Formation energy (eV/atom): 0.0477
Uncorrected energy (eV per formula unit): -52.4

3.
Density functional theory data (PBE-GGA) for Ac2TiN3F after structural relaxation.

Structure (CIF):
```
data_Ac2TiN3F
_chemical_formula_sum 'Ac4 Ti2 N6 F2'
_space_group_name_H-M_alt 'I m m m'
_space_group_IT_number 71
_space_group_name_Hall '-I 2 2'
_cell_length_a 4.020
_cell_length_b 4.063
_cell_length_c 13.370
_cell_angle_alpha 90.00
_cell_angle_beta 90.00
_cell_angle_gamma 90.00
loop_
_atom_site_label
_atom_site_fract_x
_atom_site_fract_y
_atom_site_fract_z
_atom_site_occupancy
Ac1 0.000 0.000 0.149 1
Ti1 0.000 0.000 0.500 1
N1 0.000 0.000 0.341 1
N2 0.000 0.500 0.500 1
F1 0.000 0.500 0.000 1
```

Results
Formation energy without anion corrections (eV per atom): -1.689
Uncorrected energy (eV per formula unit): -54.8

4.
Density functional theory data (PBE-GGA) for K2CaNd4Nb2O12 after structural relaxation.

Structure (CIF):
```
data_K2CaNd4Nb2O12
_chemical_formula_sum 'K4 Ca2 Nd8 Nb4 O24'
_space_group_name_H-M_alt 'C 1 m 1'
_space_group_IT_number 8
_space_group_name_Hall 'C -2y'
_cell_length_a 12.547
_cell_length_b 5.885
_cell_length_c 9.195
_cell_angle_alpha 90.00
_cell_angle_beta 105.07
_cell_angle_gamma 90.00
loop_
_atom_site_label
_atom_site_fract_x
_atom_site_fract_y
_atom_site_fract_z
_atom_site_occupancy
K1 0.000 0.000 0.000 1
K2 0.236 0.500 0.964 1
Ca1 0.306 0.500 0.294 1
Nd1 0.046 0.000 0.468 1
Nd2 0.256 0.500 0.605 1
Nd3 0.293 0.000 0.321 1
Nd4 0.462 0.000 0.694 1
Nb1 0.032 0.500 0.220 1
Nb2 0.228 0.000 0.805 1
O1 0.050 0.500 0.026 1
O2 0.119 0.242 0.695 1
O3 0.153 0.275 0.339 1
O4 0.211 0.000 0.002 1
O5 0.341 0.236 0.801 1
O6 0.384 0.267 0.504 1
O7 0.424 0.245 0.225 1
```

Results
Formation energy without anion corrections (eV per atom): -2.685
Uncorrected energy (eV per formula unit): -159.3

5.
Density functional theory data (PBE-GGA) for ZnCoCl2 after structural relaxation.

Structure (CIF):
```
data_ZnCoCl2
_chemical_formula_sum 'Zn3 Co3 Cl6'
_space_group_name_H-M_alt 'R 3 m'
_space_group_IT_number 160
_space_group_name_Hall 'R 3 -2"'
_cell_length_a 3.3315
_cell_length_b 3.3315
_cell_length_c 25.5044
_cell_angle_alpha 90.00
_cell_angle_beta 90.00
_cell_angle_gamma 120.00
loop_
_atom_site_label
_atom_site_fract_x
_atom_site_fract_y
_atom_site_fract_z
_atom_site_occupancy
Zn1 0.0000 0.0000 0.0000 1
Co1 0.0000 0.0000 0.7395 1
Cl1 0.0000 0.0000 0.2739 1
Cl2 0.0000 0.0000 0.4546 1
```

Results
Formation energy without anion corrections (eV per atom): -0.340
Uncorrected energy (eV per formula unit): -13.4

6.
Density functional theory data (PBE-GGA) for CuBi3Cl after structural relaxation.

Structure (CIF):
```
data_CuBi3Cl
_chemical_formula_sum 'Cu1 Bi3 Cl1'
_space_group_name_H-M_alt 'P m -3 m'
_space_group_IT_number 221
_space_group_name_Hall '-P 4 2 3'
_cell_length_a 5.490
_cell_length_b 5.490
_cell_length_c 5.490
_cell_angle_alpha 90.00
_cell_angle_beta 90.00
_cell_angle_gamma 90.00
loop_
_atom_site_label
_atom_site_fract_x
_atom_site_fract_y
_atom_site_fract_z
_atom_site_occupancy
Cu1 0.000 0.000 0.000 1
Bi1 0.000 0.500 0.500 1
Cl1 0.500 0.500 0.500 1
```

Results
Formation energy without anion corrections (eV per atom): 0.941
Uncorrected energy (eV per formula unit): -12.9